[1]
{"formula": "HfAs2SeS", "functional": "PBE-GGA", "state": "relaxed", "magmom_total_mub_per_cell": 0.455, "relative_energy_mev_per_atom": 0, "vol_a3_per_cell": 135.69, "e_form_raw_ev_per_atom": 0.40, "cell": [[5.216, 0.000, 0.000], [0.000, 5.216, 0.000], [0.000, 0.000, 4.987]], "species": ["As", "As", "Hf", "S", "Se"], "frac_coords": [[0.000, 0.500, 0.000], [0.500, 0.000, 0.000], [0.000, 0.000, 0.000], [0.500, 0.500, 0.500], [0.000, 0.000, 0.500]]}

[2]
{"formula": "HfAsSe2S", "functional": "PBE-GGA", "state": "relaxed", "magmom_total_mub_per_cell": 0.854, "relative_energy_mev_per_atom": 0, "vol_a3_per_cell": 137.90, "e_form_raw_ev_per_atom": 0.23, "cell": [[5.048, 0.000, 0.000], [0.000, 5.411, 0.000], [0.000, 0.000, 5.048]], "species": ["As", "Hf", "S", "Se", "Se"], "frac_coords": [[0.000, 0.500, 0.000], [0.000, 0.000, 0.000], [0.500, 0.500, 0.500], [0.000, 0.000, 0.500], [0.500, 0.000, 0.000]]}

[3]
{"formula": "HfAsSe2S", "functional": "PBE-GGA", "state": "relaxed", "magmom_total_mub_per_cell": 0.000, "relative_energy_mev_per_atom": 155, "vol_a3_per_cell": 106.49, "e_form_raw_ev_per_atom": 0.38, "cell": [[-3.460, 2.859, -1.345], [-2.415, -1.106, 3.860], [2.110, 3.669, 2.371]], "species": ["As", "Hf", "S", "Se", "Se"], "frac_coords": [[0.000, 0.000, 0.500], [0.500, 0.500, 0.500], [0.000, 0.000, 0.000], [0.000, 0.500, 0.000], [0.500, 0.000, 0.000]]}

[4]
{"formula": "HfTl2As2S6", "functional": "PBE-GGA", "state": "relaxed", "magmom_total_mub_per_cell": 0.000, "vol_a3_per_cell": 285.48, "e_form_raw_ev_per_atom": -0.52, "cell": [[7.004, 0.000, 0.000], [-3.502, 5.180, 0.230], [0.000, -2.583, 7.754]], "species": ["Hf", "Tl", "Tl", "As", "As", "S", "S", "S", "S", "S", "S"], "frac_coords": [[0.500, 0.000, 0.500], [0.690, 0.380, 0.116], [0.310, 0.620, 0.884], [0.898, 0.796, 0.759], [0.102, 0.204, 0.241], [0.744, 0.488, 0.510], [0.220, 0.928, 0.254], [0.292, 0.072, 0.746], [0.780, 0.072, 0.746], [0.708, 0.928, 0.254], [0.256, 0.512, 0.490]]}

[5]
{"formula": "Hf8Sb2As", "functional": "PBE-GGA", "state": "relaxed", "magmom_total_mub_per_cell": 0.000, "vol_a3_per_cell": 243.11, "e_form_raw_ev_per_atom": -0.42, "cell": [[3.767, 0.000, 0.000], [0.000, 7.696, 1.199], [-1.884, -1.608, 8.135]], "species": ["Hf", "Hf", "Hf", "Hf", "Hf", "Hf", "Hf", "Hf", "Sb", "Sb", "As"], "frac_coords": [[0.412, 0.481, 0.824], [0.664, 0.046, 0.328], [0.795, 0.643, 0.591], [0.022, 0.241, 0.044], [0.205, 0.357, 0.409], [0.336, 0.954, 0.672], [0.588, 0.519, 0.176], [0.978, 0.759, 0.956], [0.827, 0.243, 0.655], [0.173, 0.757, 0.345], [0.500, 0.000, 0.000]]}

[6]
{"formula": "Hf4Sb2As", "functional": "PBE-GGA", "state": "relaxed", "magmom_total_mub_per_cell": 0.000, "relative_energy_mev_per_atom": 0, "vol_a3_per_cell": 161.11, "e_form_raw_ev_per_atom": -0.33, "cell": [[-0.166, 3.466, -1.323], [1.720, -2.235, -6.070], [-7.038, -1.468, 2.251]], "species": ["Hf", "Hf", "Hf", "Hf", "Sb", "Sb", "As"], "frac_coords": [[0.911, 0.268, 0.822], [0.089, 0.732, 0.178], [0.607, 0.307, 0.214], [0.393, 0.693, 0.786], [0.755, 0.779, 0.509], [0.245, 0.221, 0.491], [0.000, 0.000, 0.000]]}

[7]
{"formula": "Hf4Sb2As", "functional": "PBE-GGA", "state": "relaxed", "magmom_total_mub_per_cell": 0.000, "relative_energy_mev_per_atom": 390, "vol_a3_per_cell": 174.28, "e_form_raw_ev_per_atom": 0.06, "cell": [[-0.126, 3.603, 3.230], [-1.151, -3.161, 3.481], [6.585, -0.820, 4.798]], "species": ["Sb", "Sb", "As", "Hf", "Hf", "Hf", "Hf"], "frac_coords": [[0.365, 0.365, 0.270], [0.635, 0.635, 0.730], [0.000, 0.000, 0.000], [0.173, 0.173, 0.654], [0.827, 0.827, 0.346], [0.000, 0.500, 0.000], [0.500, 0.000, 0.000]]}

[8]
{"formula": "Hf6SbAs3", "functional": "PBE-GGA", "state": "relaxed", "magmom_total_mub_per_cell": 0.000, "vol_a3_per_cell": 427.87, "e_form_raw_ev_per_atom": -0.62, "cell": [[6.876, 0.000, 0.000], [0.000, 8.067, -0.308], [0.000, -2.100, 7.795]], "species": ["Hf", "Hf", "Hf", "Hf", "Hf", "Hf", "Hf", "Hf", "Hf", "Hf", "Hf", "Hf", "Sb", "Sb", "As", "As", "As", "As", "As", "As"], "frac_coords": [[0.155, 0.718, 0.622], [0.655, 0.622, 0.718], [0.273, 0.493, 0.939], [0.773, 0.939, 0.493], [0.247, 0.997, 0.003], [0.587, 0.249, 0.751], [0.087, 0.751, 0.249], [0.747, 0.003, 0.997], [0.273, 0.061, 0.507], [0.773, 0.507, 0.061], [0.155, 0.378, 0.282], [0.655, 0.282, 0.378], [0.994, 0.189, 0.811], [0.494, 0.811, 0.189], [0.480, 0.912, 0.713], [0.980, 0.713, 0.912], [0.341, 0.416, 0.584], [0.841, 0.584, 0.416], [0.980, 0.088, 0.287], [0.480, 0.287, 0.088]]}